(1)
Here is a relaxed InGeSb crystal from Alexandria via LeMat-Bulk. Energies are from PBE.

SG ... Cm (8)
Energy above the most stable polymorph in this dataset ... 29 meV/atom
Mass density ... 5.96 g cm⁻³
Volume ... 28.74 Å³ per atom
Spin magnetization ... 0.00 μB/cell
Crystal system ... monoclinic

```
InGeSb
1.0
3.5080 -2.0366 0.0000
3.5080 2.0366 0.0000
-2.3816 0.0000 6.0345
In Ge Sb
1 1 1
Direct
0.0000 0.0000 0.0000
0.7848 0.7848 0.3571
0.2001 0.2001 0.5983
```



(2)
Here is a relaxed ZnSiCl2 crystal from Alexandria via LeMat-Bulk. Energies are from PBE.

SG ... P2/m (10)
Energy above the most stable polymorph in this dataset ... 212 meV/atom
Mass density ... 2.94 g cm⁻³
Volume ... 23.22 Å³ per atom
Spin magnetization ... 0.00 μB/cell
Crystal system ... monoclinic

```
ZnSiCl2
1.0
2.9878 0.0000 0.0000
0.0000 3.4405 0.0000
-0.2166 0.0000 9.0353
Zn Si Cl
1 1 2
Direct
0.0000 0.0000 0.0000
0.0000 0.0000 0.5000
0.0135 0.5000 0.6895
0.9865 0.5000 0.3105
```



(3)
Here is a relaxed AcCuSn2Rh4 crystal from Alexandria via LeMat-Bulk. Energies are from PBE.

SG ... R-3m (166)
Mass density ... 10.30 g cm⁻³
Calculated formation energy ... -0.51 eV per atom
Volume ... 18.94 Å³ per atom
Spin magnetization ... 0.00 μB/cell
Crystal system ... trigonal

```
AcCuSn2Rh4
1.0
2.2234 1.2837 8.8472
-2.2234 1.2837 8.8472
0.0000 -2.5674 8.8472
Ac Cu Sn Rh
1 1 2 4
Direct
0.0000 0.0000 0.0000
0.5000 0.5000 0.5000
0.2341 0.2341 0.2341
0.7659 0.7659 0.7659
0.1316 0.1316 0.1316
0.4037 0.4037 0.4037
0.5963 0.5963 0.5963
0.8684 0.8684 0.8684
```



(4)
Here is a relaxed NdGeSb3 crystal from Alexandria via LeMat-Bulk. Energies are from PBE.

SG ... Pbcm (57)
Mass density ... 7.06 g cm⁻³
Volume ... 27.38 Å³ per atom
Total DFT energy (no corrections) ... -4.716 eV per atom
Spin magnetization ... 0.00 μB/cell
Crystal system ... orthorhombic

```
NdGeSb3
1.0
14.0842 0.0000 0.0000
0.0000 6.1723 0.0000
0.0000 0.0000 6.3000
Nd Ge Sb
4 4 12
Direct
0.1762 0.0020 0.2500
0.1762 0.4980 0.7500
0.8238 0.5020 0.2500
0.8238 0.9980 0.7500
0.3867 0.2500 0.0000
0.3867 0.2500 0.5000
0.6133 0.7500 0.0000
0.6133 0.7500 0.5000
0.0004 0.2500 0.0000
0.0004 0.2500 0.5000
0.9996 0.7500 0.0000
0.9996 0.7500 0.5000
0.2459 0.5047 0.2500
0.2459 0.9953 0.7500
0.4149 0.6708 0.7500
0.4149 0.8292 0.2500
0.5851 0.1708 0.7500
0.5851 0.3292 0.2500
0.7541 0.0047 0.2500
0.7541 0.4953 0.7500
```



(5)
Here is a relaxed LaMnAs4 crystal from Alexandria via LeMat-Bulk. Energies are from PBE.

SG ... F-43m (216)
Mass density ... 6.32 g cm⁻³
Calculated formation energy ... -0.04 eV per atom
Volume ... 21.61 Å³ per atom
Spin magnetization ... 4.42 μB/cell
Crystal system ... cubic

```
LaMnAs4
1.0
0.0000 4.0172 4.0172
4.0172 0.0000 4.0172
4.0172 4.0172 0.0000
La Mn As
1 1 4
Direct
0.0000 0.0000 0.0000
0.7500 0.7500 0.7500
0.3780 0.3780 0.3780
0.3780 0.3780 0.8661
0.3780 0.8661 0.3780
0.8661 0.3780 0.3780
```



(6)
Here is a relaxed CdCo2W crystal from Alexandria via LeMat-Bulk. Energies are from PBE.

SG ... R3m (160)
Mass density ... 11.75 g cm⁻³
Calculated formation energy ... 0.42 eV per atom
Volume ... 14.64 Å³ per atom
Spin magnetization ... 2.42 μB/cell
Crystal system ... trigonal

```
CdCo2W
1.0
1.3768 0.7949 8.9153
-1.3768 0.7949 8.9153
0.0000 -1.5898 8.9153
Cd Co W
1 2 1
Direct
0.0000 0.0000 0.0000
0.4896 0.4896 0.4896
0.7535 0.7535 0.7535
0.2340 0.2340 0.2340
```



(7)
Here is a relaxed ReSiNCl2 crystal from Alexandria via LeMat-Bulk. Energies are from PBE.

SG ... P4/mmm (123)
Mass density ... 5.26 g cm⁻³
Volume ... 18.87 Å³ per atom
Total DFT energy (no corrections) ... -5.342 eV per atom
Spin magnetization ... 0.00 μB/cell
Crystal system ... tetragonal

```
ReSiNCl2
1.0
5.0158 0.0000 0.0000
0.0000 5.0158 0.0000
0.0000 0.0000 3.7511
Re Si N Cl
1 1 1 2
Direct
0.0000 0.0000 0.0000
0.5000 0.5000 0.5000
0.0000 0.0000 0.5000
0.0000 0.5000 0.0000
0.5000 0.0000 0.0000
```



(8)
Here is a relaxed Hf3TiRh crystal from Alexandria via LeMat-Bulk. Energies are from PBE.

SG ... Pm-3m (221)
Energy above the most stable polymorph in this dataset ... 1185 meV/atom
Mass density ... 10.33 g cm⁻³
Calculated formation energy ... 0.94 eV per atom
Volume ... 22.05 Å³ per atom
Spin magnetization ... 0.00 μB/cell
Crystal system ... cubic

```
Hf3TiRh
1.0
4.7953 0.0000 0.0000
0.0000 4.7953 0.0000
0.0000 0.0000 4.7953
Hf Ti Rh
3 1 1
Direct
0.0000 0.0000 0.5000
0.0000 0.5000 0.0000
0.5000 0.0000 0.0000
0.0000 0.0000 0.0000
0.5000 0.5000 0.5000
```



(9)
Here is a relaxed HgPt2Se crystal from Alexandria via LeMat-Bulk. Energies are from PBE.

SG ... Pm (6)
Mass density ... 14.85 g cm⁻³
Volume ... 18.72 Å³ per atom
Total DFT energy (no corrections) ... -3.849 eV per atom
Spin magnetization ... 0.00 μB/cell
Crystal system ... monoclinic

```
HgPt2Se
1.0
3.0746 0.0000 0.0000
0.0000 5.1265 0.0000
-0.2511 0.0000 4.7515
Hg Pt Se
1 2 1
Direct
0.0000 0.0000 0.0000
0.1912 0.5000 0.7958
0.5077 0.0000 0.4976
0.6122 0.5000 0.3693
```



(10)
Here is a relaxed Pm4Pd2Pb crystal from Alexandria via LeMat-Bulk. Energies are from PBE.

SG ... I-42d (122)
Mass density ... 8.34 g cm⁻³
Calculated formation energy ... -0.54 eV per atom
Volume ... 28.45 Å³ per atom
Spin magnetization ... 0.00 μB/cell
Crystal system ... tetragonal

```
Pm4Pd2Pb
1.0
-4.7076 4.7076 4.4934
4.7076 -4.7076 4.4934
4.7076 4.7076 -4.4934
Pm Pd Pb
8 4 2
Direct
0.1025 0.4924 0.7408
0.1117 0.0015 0.7592
0.2424 0.3525 0.2408
0.5076 0.2485 0.6101
0.6383 0.8975 0.3899
0.6475 0.8883 0.8899
0.7515 0.3617 0.2592
0.9985 0.7576 0.1101
0.3750 0.0125 0.1375
0.7625 0.6250 0.6375
0.8750 0.2375 0.8625
0.9875 0.1250 0.3625
0.2500 0.7500 0.5000
0.5000 0.5000 0.0000
```



(11)
Here is a relaxed Sr3AcTe4 crystal from Alexandria via LeMat-Bulk. Energies are from PBE.

SG ... I4/mmm (139)
Energy above the most stable polymorph in this dataset ... 3 meV/atom
Mass density ... 5.53 g cm⁻³
Volume ... 37.56 Å³ per atom
Spin magnetization ... 0.00 μB/cell
Crystal system ... tetragonal

```
Sr3AcTe4
1.0
-3.3484 3.3484 6.6997
3.3484 -3.3484 6.6997
3.3484 3.3484 -6.6997
Sr Ac Te
3 1 4
Direct
0.0000 0.0000 0.0000
0.2500 0.7500 0.5000
0.7500 0.2500 0.5000
0.5000 0.5000 0.0000
0.0000 0.5000 0.5000
0.2497 0.2497 0.0000
0.5000 0.0000 0.5000
0.7503 0.7503 0.0000
```



(12)
Here is a relaxed RbZr2As2 crystal from Alexandria via LeMat-Bulk. Energies are from PBE.

SG ... I4/mmm (139)
Energy above the most stable polymorph in this dataset ... 0 meV/atom
Mass density ... 4.51 g cm⁻³
Calculated formation energy ... -0.70 eV per atom
Volume ... 30.78 Å³ per atom
Spin magnetization ... 0.00 μB/cell
Crystal system ... tetragonal

```
RbZr2As2
1.0
-2.2965 2.2965 7.2949
2.2965 -2.2965 7.2949
2.2965 2.2965 -7.2949
Rb Zr As
1 2 2
Direct
0.0000 0.0000 0.0000
0.2500 0.7500 0.5000
0.7500 0.2500 0.5000
0.3480 0.3480 0.0000
0.6520 0.6520 0.0000
```



Look up the mass density of the eleventh one.
5.53 g cm⁻³



Which formula does entry 11 have?
Sr3AcTe4



mass density of number 11 (Sr3AcTe4)?
5.53 g cm⁻³